This record from OQMD via LeMat-Bulk describes a relaxed structure of DyYCo2C2N2. The functional is PBE-GGA.

```
DyYCo2C2N2
1.0
3.444 0.000 0.000
0.000 3.444 0.000
0.000 0.000 7.270
Dy Y Co C N
1 1 2 2 2
Cartesian
0.000 0.000 0.000
1.722 1.722 2.551
0.000 1.722 4.914
1.722 0.000 4.914
0.000 0.000 3.816
1.722 1.722 6.009
0.000 0.000 2.379
1.722 1.722 0.176
```

Summary:
- uncorrected energy (eV per atom) = -8.25
- ρ (g cm⁻³) = 8.1
- SG = No. 99
- total magnetization (μB per formula unit) = 0.00